[1]
GaNiHgC | GGA-PBE | optimized geometry

Computed properties:
- magnetic moment (μB per atom) = 0.00
- energy (eV per atom) = -4.0884

a = 3.6283 Å, b = 3.5874 Å, c = 5.2405 Å
α = 90.00°, β = 90.00°, γ = 90.00°
Closest atoms and distances in Å follow each position.
Positions (direct):
Hg (0.5000, 0.0000, 0.4147)  2 Ni 2.75, 2 Ga 2.82
Ga (0.0000, 0.0000, 0.8261)  2 C 2.04
Ni (0.5000, 0.5000, 0.0168)  2 C 1.81
C (0.0000, 0.5000, 0.0123)  2 Ni 1.81

[2]
SrPCl2 | GGA-PBE | optimized geometry

Computed properties:
- magnetic moment (μB per atom) = 0.03
- energy (eV per atom) = -3.6034

a = 3.7390 Å, b = 5.8404 Å, c = 4.3618 Å
α = 90.00°, β = 90.00°, γ = 90.00°
Closest atoms and distances in Å follow each position.
Positions (direct):
Cl (0.0000, 0.0000, 0.0000)  4 P 2.87
Cl (0.5000, 0.5000, 0.0000)  4 Sr 2.87
Sr (0.0000, 0.5000, 0.5000)  4 Cl 2.87
P (0.5000, 0.0000, 0.5000)  4 Cl 2.87

[3]
LaIn12Ir6 | GGA-PBE | optimized geometry

Computed properties:
- magnetic moment (μB per atom) = 0.00
- energy (eV per atom) = -4.9272

a = 7.8630 Å, b = 7.8630 Å, c = 7.8630 Å
α = 105.74°, β = 105.74°, γ = 105.74°
Closest atoms and distances in Å follow each position.
Positions (direct):
Ir (0.2683, 0.2683, 0.6900)  7 In 2.71-2.78
Ir (0.6900, 0.2683, 0.2683)  7 In 2.71-2.78
Ir (0.3100, 0.7317, 0.7317)  7 In 2.71-2.78
Ir (0.2683, 0.6900, 0.2683)  7 In 2.71-2.78
Ir (0.7317, 0.7317, 0.3100)  7 In 2.71-2.78
Ir (0.7317, 0.3100, 0.7317)  7 In 2.71-2.78
In (0.4121, 0.4121, 0.1487)  3 Ir 2.71-2.78
In (0.8799, 0.1201, 0.5000)  4 Ir 2.74-2.75, 3 In 3.01-3.04
In (0.5000, 0.8799, 0.1201)  4 Ir 2.74-2.75, 3 In 3.01-3.04
In (0.8799, 0.5000, 0.1201)  4 Ir 2.74-2.75, 3 In 3.01-3.04
In (0.1201, 0.8799, 0.5000)  4 Ir 2.74-2.75, 3 In 3.01-3.04
In (0.5879, 0.8513, 0.5879)  3 Ir 2.71-2.78
In (0.4121, 0.1487, 0.4121)  3 Ir 2.71-2.78
In (0.5000, 0.1201, 0.8799)  4 Ir 2.74-2.75, 3 In 3.01-3.04
In (0.1487, 0.4121, 0.4121)  3 Ir 2.71-2.78
In (0.1201, 0.5000, 0.8799)  4 Ir 2.74-2.75, 3 In 3.01-3.04
In (0.8513, 0.5879, 0.5879)  3 Ir 2.71-2.78
In (0.5879, 0.5879, 0.8513)  3 Ir 2.71-2.78
La (0.0000, 0.0000, 0.0000)  6 In 3.54

[4]
TiSnTeI2 | GGA-PBE | optimized geometry

Computed properties:
- magnetic moment (μB per atom) = 0.40
- energy (eV per atom) = -3.7238

a = 5.5124 Å, b = 5.5124 Å, c = 5.5555 Å
α = 90.00°, β = 90.00°, γ = 90.00°
Closest atoms and distances in Å follow each position.
Positions (direct):
I (0.5000, 0.0000, 0.0000)  2 Ti 2.76
I (0.0000, 0.5000, 0.0000)  2 Ti 2.76
Ti (0.0000, 0.0000, 0.0000)  4 I 2.76, 2 Te 2.78
Te (0.0000, 0.0000, 0.5000)  2 Ti 2.78
Sn (0.5000, 0.5000, 0.5000)  4 Te 3.90, 8 I 3.91